Crystalline Cr2Pt at its relaxed geometry, computed with PBE.

Computed properties:
Electronic total energy ... -8.46 eV/atom
E_form ... -0.027 eV per atom
Space-group type ... Cmcm

Unit cell a=4.716 b=4.716 c=4.150 alpha=90.00 beta=90.00 gamma=121.98
Fractional coordinates of all 6 atoms:
Cr 0.154 0.510 0.250
Pt 0.181 0.181 0.750
Cr 0.846 0.490 0.750
Cr 0.490 0.846 0.750
Pt 0.819 0.819 0.250
Cr 0.510 0.154 0.250